Entry from the Alexandria database: KHgSeBr2 after structural relaxation (GGA-PBE).

## Properties
* energy relative to the elements, uncorrected: 45 meV per atom
* excess energy over the best structure of this formula in the dataset: 56.7 kJ per mole of atoms
* symmetry: P4/mmm, No. 123
* magnetization: 3.05 μB per cell

Unit cell a=6.220 b=6.220 c=6.571 alpha=90.00 beta=90.00 gamma=90.00
Each line ends with the local moment (μB).
Element x y z (fractional)
1 K 0.000 0.000 0.000  0.00
2 Hg 0.500 0.500 0.500  0.12
3 Br 0.000 0.500 0.000  0.33
4 Br 0.500 0.000 0.000  0.33
5 Se 0.000 0.000 0.500  1.13


Entry from the Alexandria database: K2HgSeBr after structural relaxation (GGA-PBE).

## Properties
* energy relative to the elements, uncorrected: -968 meV per atom
* symmetry: P4/mmm, No. 123
* magnetization: 0.00 μB per cell

Unit cell a=6.325 b=6.325 c=5.337 alpha=90.00 beta=90.00 gamma=90.00
Element x y z (fractional)
1 Br 0.500 0.500 0.500
2 Se 0.000 0.000 0.000
3 K 0.500 0.000 0.000
4 K 0.000 0.500 0.000
5 Hg 0.000 0.000 0.500


Entry from the Alexandria database: KHgSeBr2 after structural relaxation (GGA-PBE).

## Properties
* energy relative to the elements, uncorrected: -543 meV per atom
* excess energy over the best structure of this formula in the dataset: 0.0 kJ per mole of atoms
* symmetry: P4/mmm, No. 123
* magnetization: 0.83 μB per cell

Unit cell a=5.762 b=5.762 c=5.266 alpha=90.00 beta=90.00 gamma=90.00
Each line ends with the local moment (μB).
Element x y z (fractional)
1 Br 0.000 0.500 0.000  0.06
2 Br 0.500 0.000 0.000  0.06
3 Hg 0.000 0.000 0.000  0.01
4 Se 0.000 0.000 0.500  0.39
5 K 0.500 0.500 0.500  0.00


Entry from the Alexandria database: KHg2SeBr after structural relaxation (GGA-PBE).

## Properties
* energy relative to the elements, uncorrected: -609 meV per atom
* symmetry: P4/mmm, No. 123
* magnetization: 0.00 μB per cell

Unit cell a=5.393 b=5.393 c=6.622 alpha=90.00 beta=90.00 gamma=90.00
Element x y z (fractional)
1 Hg 0.000 0.500 0.000
2 Hg 0.500 0.000 0.000
3 K 0.000 0.000 0.500
4 Se 0.000 0.000 0.000
5 Br 0.500 0.500 0.500


Entry from the Alexandria database: KSnHgBr6 after structural relaxation (GGA-PBE).

## Properties
* energy relative to the elements, uncorrected: -794 meV per atom
* symmetry: P-31c, No. 163
* magnetization: 0.02 μB per cell

Unit cell a=7.348 b=7.348 c=14.481 alpha=90.00 beta=90.00 gamma=120.00
Element x y z (fractional)
1 Br 0.631 0.627 0.137
2 Br 0.627 0.631 0.637
3 Br 0.004 0.373 0.637
4 Br 0.627 0.996 0.863
5 Br 0.369 0.373 0.863
6 Br 0.631 0.004 0.363
7 Br 0.369 0.996 0.637
8 Br 0.996 0.369 0.137
9 Br 0.373 0.004 0.137
10 Br 0.004 0.631 0.863
11 Br 0.373 0.369 0.363
12 Br 0.996 0.627 0.363
13 Hg 0.333 0.667 0.250
14 Hg 0.667 0.333 0.750
15 Sn 0.667 0.333 0.250
16 Sn 0.333 0.667 0.750
17 K 0.000 0.000 0.500
18 K 0.000 0.000 0.000


Entry from the Alexandria database: KSnHg2Br8 after structural relaxation (GGA-PBE).

## Properties
* energy relative to the elements, uncorrected: -705 meV per atom
* symmetry: P-1, No. 2
* magnetization: 0.00 μB per cell

Unit cell a=6.962 b=7.732 c=9.481 alpha=70.04 beta=88.01 gamma=97.18
Element x y z (fractional)
1 Br 0.219 0.866 0.824
2 Br 0.423 0.290 0.427
3 Br 0.691 0.696 0.056
4 Br 0.577 0.710 0.573
5 Br 0.156 0.785 0.267
6 Br 0.781 0.134 0.176
7 Br 0.844 0.215 0.733
8 Br 0.309 0.304 0.944
9 K 0.000 0.000 0.500
10 Hg 0.454 0.263 0.703
11 Hg 0.546 0.737 0.297
12 Sn 0.000 0.000 0.000


What did the fifth record say?
Entry from the Alexandria database: KSnHgBr6 after structural relaxation (GGA-PBE).

## Properties
* energy relative to the elements, uncorrected: -794 meV per atom
* symmetry: P-31c, No. 163
* magnetization: 0.02 μB per cell

Unit cell a=7.348 b=7.348 c=14.481 alpha=90.00 beta=90.00 gamma=120.00
Element x y z (fractional)
1 Br 0.631 0.627 0.137
2 Br 0.627 0.631 0.637
3 Br 0.004 0.373 0.637
4 Br 0.627 0.996 0.863
5 Br 0.369 0.373 0.863
6 Br 0.631 0.004 0.363
7 Br 0.369 0.996 0.637
8 Br 0.996 0.369 0.137
9 Br 0.373 0.004 0.137
10 Br 0.004 0.631 0.863
11 Br 0.373 0.369 0.363
12 Br 0.996 0.627 0.363
13 Hg 0.333 0.667 0.250
14 Hg 0.667 0.333 0.750
15 Sn 0.667 0.333 0.250
16 Sn 0.333 0.667 0.750
17 K 0.000 0.000 0.500
18 K 0.000 0.000 0.000


Question: Among the records above, which one has the highest magnetization?
Answer: number 1


Question: What is the magnetization in the fifth record?
Answer: 0.02 μB per cell